[1]
Below is a geometry-optimized MgRe2Pb structure, with properties calculated at the PBE level.

* uncorrected energy: -26.7 eV for the cell shown
* formation enthalpy at 0 K: 0.88 eV/atom
* relative energy among the computed polymorphs: 649 meV/atom

Unit cell a=5.317 b=5.317 c=5.317 alpha=136.33 beta=136.33 gamma=63.47
Fractional positions:
1 Mg 0.000 0.000 0.000
2 Re 0.250 0.750 0.500
3 Re 0.750 0.250 0.500
4 Pb 0.500 0.500 0.000


[2]
Below is a geometry-optimized Mg3RePb structure, with properties calculated at the PBE level.

* uncorrected energy: -13.7 eV for the cell shown
* formation enthalpy at 0 K: 1.44 eV/atom
* relative energy among the computed polymorphs: 626 meV/atom

Unit cell a=5.277 b=5.277 c=5.277 alpha=90.00 beta=90.00 gamma=90.00
Fractional positions:
1 Mg 0.000 0.000 0.500
2 Mg 0.000 0.500 0.000
3 Mg 0.500 0.000 0.000
4 Re 0.500 0.500 0.500
5 Pb 0.000 0.000 0.000